Record 1
Entry from the Alexandria database: a PBEsol-optimized structure of ZrOs2Br (SCAN).

Formation energy without anion corrections in eV per atom: 0.66

abc: 3.0511 3.0511 25.6157
angles: 90.00 90.00 120.00
Space group R-3m (No. 166, hexagonal axes)
One atom of each set of equivalent atoms:
Zr  0.0000  0.0000  0.0000 [3 per cell]
Os  0.0000  0.0000  0.2518 [6 per cell]
Br  0.0000  0.0000  0.5000 [3 per cell]

***

Record 2
Entry from the Alexandria database: a PBEsol-optimized structure of CaCo (SCAN).

Energy relative to the elements in meV/atom: 253

abc: 10.6604 3.6243 6.9662
angles: 90.00 99.39 90.00
Space group Cm (No. 8)
One atom of each set of equivalent atoms:
Ca  0.0000  0.0000  0.0000 [2 per cell]
Ca  0.0629  0.0000  0.5730 [2 per cell]
Ca  0.2687  0.5000  0.3095 [2 per cell]
Co  0.2508  0.5000  0.7819 [2 per cell]
Co  0.2719  0.0000  0.9707 [2 per cell]
Co  0.3428  0.0000  0.6671 [2 per cell]

***

Record 3
Entry from the Alexandria database: a PBEsol-optimized structure of NaSnSb2Ir (SCAN).

Formation energy without anion corrections in eV per atom: 0.21

abc: 5.2727 5.2727 5.0835
angles: 90.00 90.00 90.00
Space group P4/mmm (No. 123)
One atom of each set of equivalent atoms:
Na  0.0000  0.0000  0.0000 [1 per cell]
Sn  0.5000  0.5000  0.0000 [1 per cell]
Sb  0.0000  0.5000  0.5000 [2 per cell]
Ir  0.5000  0.5000  0.5000 [1 per cell]

***

Record 4
Entry from the Alexandria database: a PBEsol-optimized structure of In2GaO (SCAN).

Formation energy without anion corrections in eV per atom: 0.08

abc: 6.6043 6.6043 6.6043
angles: 90.00 90.00 90.00
Space group Fm-3m (No. 225)
One atom of each set of equivalent atoms:
In  0.2500  0.2500  0.2500 [8 per cell]
Ga  0.0000  0.0000  0.0000 [4 per cell]
O  0.0000  0.0000  0.5000 [4 per cell]

***

Record 5
Entry from the Alexandria database: a PBEsol-optimized structure of CaMoN3 (SCAN).

Formation energy without anion corrections in eV per atom: -0.72

abc: 3.4810 4.2072 8.7026
angles: 90.00 90.00 90.00
Space group Pmm2 (No. 25)
One atom of each set of equivalent atoms:
Ca  0.0000  0.0000  0.0000 [1 per cell]
Ca  0.0000  0.5000  0.3640 [1 per cell]
Mo  0.5000  0.0000  0.5827 [1 per cell]
Mo  0.5000  0.5000  0.7930 [1 per cell]
N  0.0000  0.0000  0.4927 [1 per cell]
N  0.0000  0.5000  0.8838 [1 per cell]
N  0.5000  0.0000  0.8045 [1 per cell]
N  0.5000  0.1463  0.2068 [2 per cell]
N  0.5000  0.5000  0.5702 [1 per cell]

***

Record 6
Entry from the Alexandria database: a PBEsol-optimized structure of Al8Zn3CdS16 (SCAN).

Formation energy without anion corrections in eV per atom: -1.17

abc: 7.1864 7.1864 35.1761
angles: 90.00 90.00 120.00
Space group R3m (No. 160, hexagonal axes)
One atom of each set of equivalent atoms:
Al  0.0000  0.0000  0.0000 [3 per cell]
Al  0.0000  0.0000  0.5003 [3 per cell]
Al  0.0008  0.5004  0.2506 [9 per cell]
Al  0.1670  0.3339  0.0829 [9 per cell]
Zn  0.0000  0.0000  0.1876 [3 per cell]
Zn  0.0000  0.0000  0.3128 [3 per cell]
Zn  0.0000  0.0000  0.6876 [3 per cell]
Cd  0.0000  0.0000  0.8125 [3 per cell]
S  0.0000  0.0000  0.1201 [3 per cell]
S  0.0000  0.0000  0.3793 [3 per cell]
S  0.0000  0.0000  0.6201 [3 per cell]
S  0.0000  0.0000  0.8831 [3 per cell]
S  0.0255  0.5127  0.6237 [9 per cell]
S  0.0394  0.5197  0.1224 [9 per cell]
S  0.1800  0.3600  0.2101 [9 per cell]
S  0.1799  0.3598  0.7102 [9 per cell]

***

Record 7
Entry from the Alexandria database: a PBEsol-optimized structure of CaBeCl2 (SCAN).

Formation energy without anion corrections in eV per atom: -1.03

abc: 3.4309 6.7646 8.9050
angles: 90.00 90.00 90.00
Space group Imm2 (No. 44)
One atom of each set of equivalent atoms:
Ca  0.0000  0.0000  0.0000 [2 per cell]
Be  0.0000  0.5000  0.7685 [2 per cell]
Cl  0.0000  0.0000  0.4138 [2 per cell]
Cl  0.0000  0.5000  0.2754 [2 per cell]

***

Record 8
Entry from the Alexandria database: a PBEsol-optimized structure of Pr2CuRu (SCAN).

Energy relative to the elements in meV/atom: -163

abc: 7.0251 7.0251 7.0251
angles: 90.00 90.00 90.00
Space group Fm-3m (No. 225)
One atom of each set of equivalent atoms:
Pr  0.2500  0.2500  0.2500 [8 per cell]
Cu  0.0000  0.0000  0.0000 [4 per cell]
Ru  0.0000  0.0000  0.5000 [4 per cell]

***

The following final energy values (in eV per atom) correspond, in order, to the records above: -47.8220 -13.2304 -36.9370 -22.2532 -15.1997 -11.4240 -8.5267 -34.3321.
The following magnetic moment values (in μB/f.u.) correspond, in order, to the records above: 0.0 1.5 0.0 0.0 0.8 0.0 0.0 0.0.